Entry i
VASP calculation (PBE) on a geometry-optimized NaLaFe2 structure.

The space group is Fm-3m (No. 225) and the conventional cell measures 6.581, 6.581 and 6.581 Å, with angles of 90.00, 90.00 and 90.00 degrees. The asymmetric unit holds Na at (0.000, 0.000, 0.000), La at (0.000, 0.000, 0.500) and Fe at (0.250, 0.250, 0.250).

Entry ii
VASP calculation (PBE) on a geometry-optimized NaLaFe2 structure.

The space group is I-42d (No. 122) and the conventional cell measures 4.483, 4.483 and 18.898 Å, with angles of 90.00, 90.00 and 90.00 degrees. The asymmetric unit holds Na at (0.000, 0.000, 0.000), La at (0.000, 0.000, 0.500) and Fe at (0.121, 0.250, 0.625).

Q: Which of them is the least stable? A: entry i.

Entry i
VASP calculation (PBE) on a geometry-optimized LaNbFe3 structure.

The space group is Pm-3m (No. 221) and the conventional cell measures 4.688, 4.688 and 4.688 Å, with angles of 90.00, 90.00 and 90.00 degrees. The asymmetric unit holds La at (0.000, 0.000, 0.000), Nb at (0.500, 0.500, 0.500) and Fe at (0.000, 0.500, 0.500).

Entry ii
VASP calculation (PBE) on a geometry-optimized LaNbFe3 structure.

The space group is Pm-3m (No. 221) and the conventional cell measures 4.456, 4.456 and 4.456 Å, with angles of 90.00, 90.00 and 90.00 degrees. The asymmetric unit holds La at (0.000, 0.000, 0.000), Nb at (0.500, 0.500, 0.500) and Fe at (0.000, 0.000, 0.500).

Q: Which of them is the least stable? A: entry ii.

Entry i
VASP calculation (PBE) on a geometry-optimized LaNb2Fe structure.

The space group is Fm-3m (No. 225) and the conventional cell measures 6.592, 6.592 and 6.592 Å, with angles of 90.00, 90.00 and 90.00 degrees. The asymmetric unit holds La at (0.000, 0.000, 0.000), Nb at (0.250, 0.250, 0.250) and Fe at (0.000, 0.000, 0.500).

Entry ii
VASP calculation (PBE) on a geometry-optimized LaNb2Fe structure.

The space group is I4_1/amd (No. 141, origin choice 2) and the conventional cell measures 4.997, 4.997 and 16.583 Å, with angles of 90.00, 90.00 and 90.00 degrees. The asymmetric unit holds La at (0.000, 0.250, 0.375), Nb at (0.000, 0.000, 0.000) and Fe at (0.000, 0.250, 0.875).

Q: Which of them is the least stable? A: entry ii.

Entry i
VASP calculation (PBE) on a geometry-optimized La2FeNi structure.

The space group is P4mm (No. 99) and the conventional cell measures 3.333, 3.333 and 8.344 Å, with angles of 90.00, 90.00 and 90.00 degrees. The asymmetric unit holds La at (0.000, 0.000, 0.000), La at (0.500, 0.500, 0.408), Fe at (0.500, 0.500, 0.751) and Ni at (0.000, 0.000, 0.640).

Entry ii
VASP calculation (PBE) on a geometry-optimized La2FeNi structure.

The space group is Fm-3m (No. 225) and the conventional cell measures 7.075, 7.075 and 7.075 Å, with angles of 90.00, 90.00 and 90.00 degrees. The asymmetric unit holds La at (0.250, 0.250, 0.250), Fe at (0.000, 0.000, 0.000) and Ni at (0.000, 0.000, 0.500).

Q: Which of them is the least stable? A: entry i.

Entry i
VASP calculation (PBE) on a geometry-optimized La2FeNi structure.

The space group is F-43m (No. 216) and the conventional cell measures 6.876, 6.876 and 6.876 Å, with angles of 90.00, 90.00 and 90.00 degrees. The asymmetric unit holds La at (0.000, 0.000, 0.000), La at (0.250, 0.250, 0.250), Fe at (0.000, 0.000, 0.500) and Ni at (0.250, 0.250, 0.750).

Entry ii
VASP calculation (PBE) on a geometry-optimized La2FeNi structure.

The space group is C2/m (No. 12) and the conventional cell measures 6.860, 3.824 and 7.708 Å, with angles of 90.00, 105.84 and 90.00 degrees. The asymmetric unit holds La at (0.247, 0.000, 0.243), Fe at (0.000, 0.000, 0.500) and Ni at (0.000, 0.500, 0.000).

Q: Which of them is the least stable? A: entry i.

Entry i
VASP calculation (PBE) on a geometry-optimized La2FeNi structure.

The space group is Imm2 (No. 44) and the conventional cell measures 3.585, 4.372 and 11.525 Å, with angles of 90.00, 90.00 and 90.00 degrees. The asymmetric unit holds La at (0.000, 0.000, 0.000), La at (0.000, 0.500, 0.214), Fe at (0.000, 0.000, 0.429) and Ni at (0.000, 0.500, 0.793).

Entry ii
VASP calculation (PBE) on a geometry-optimized La2FeNi structure.

The space group is Pmm2 (No. 25) and the conventional cell measures 3.697, 4.505 and 5.694 Å, with angles of 90.00, 90.00 and 90.00 degrees. The asymmetric unit holds La at (0.000, 0.000, 0.000), La at (0.500, 0.500, 0.499), Fe at (0.000, 0.000, 0.501) and Ni at (0.500, 0.500, 0.998).

Entry iii
VASP calculation (PBE) on a geometry-optimized La2FeNi structure.

The space group is I-42d (No. 122) and the conventional cell measures 7.392, 7.392 and 6.335 Å, with angles of 90.00, 90.00 and 90.00 degrees. The asymmetric unit holds La at (0.229, 0.250, 0.125), Fe at (0.000, 0.000, 0.000) and Ni at (0.000, 0.000, 0.500).

Q: Which of them is the least stable? A: entry iii.